First-principles (GGA+U) data for a relaxed structure of SrNbMo2O8, as listed in Alexandria.

```
SrNbMo2O8
1.0
3.392 -3.531 0.000
3.392 3.531 0.000
0.000 0.000 6.649
Sr Nb Mo O
1 1 2 8
Direct
0.000 0.000 0.000
0.000 0.000 0.500
0.500 0.500 0.250
0.500 0.500 0.750
0.211 0.211 0.292
0.211 0.211 0.708
0.302 0.698 0.500
0.332 0.668 0.000
0.668 0.332 0.000
0.698 0.302 0.500
0.789 0.789 0.292
0.789 0.789 0.708
```

Results
- Space group: Cmmm (65)
- Total moment: 3.00 Bohr magnetons per cell
- Total energy: -90.72 eV for the cell shown